PBE NbGaMo3, relaxed; V = 107.0 Å³ per cell; DFT formation energy = 174 kJ/mol of atoms; DFT total energy = -7.310 eV per atom; crystal system = cubic; polymorph energy (0 for the lowest one) = 205 kJ/mol of formula units
1.0
-0.055 -4.745 -0.145
1.348 -0.154 4.550
-4.552 0.011 1.349
Mo Nb Ga
3 1 1
direct
0.000 0.500 0.000 Mo
0.000 0.000 0.500 Mo
0.500 0.000 0.000 Mo
0.000 0.000 0.000 Nb
0.500 0.500 0.500 Ga